Compound: Sc3Sb
Source: Alexandria
Functional: PBE
Structure: relaxed

POSCAR file:
```
Sc3Sb
1.0
-1.692 5.076 2.717
1.692 -5.076 2.717
1.692 5.076 -2.717
Sc Sb
3 1
Direct
0.000 0.000 0.000
0.409 0.645 0.764
0.880 0.645 0.236
0.475 0.975 0.500
```

Results
energy relative to the elements, uncorrected = -38.3 kJ per mole of atoms



Compound: BeCr2Tc
Source: Alexandria
Functional: PBE
Structure: relaxed

POSCAR file:
```
BeCr2Tc
1.0
2.944 0.000 0.000
0.000 2.944 0.000
0.000 0.000 5.373
Be Cr Tc
1 2 1
Direct
0.000 0.000 0.000
0.000 0.000 0.480
0.500 0.500 0.230
0.500 0.500 0.759
```

Results
calculated formation energy = 0.020 eV per atom



Compound: TaAl2Zn
Source: Alexandria
Functional: PBE
Structure: relaxed

POSCAR file:
```
TaAl2Zn
1.0
2.985 0.000 0.000
0.000 3.930 0.000
0.000 0.000 5.533
Ta Al Zn
1 2 1
Direct
0.000 0.000 0.000
0.000 0.000 0.500
0.500 0.500 0.763
0.500 0.500 0.262
```

Results
calculated formation energy = -0.055 eV per atom



Compound: BeCd2Co
Source: Alexandria
Functional: PBE
Structure: relaxed

POSCAR file:
```
BeCd2Co
1.0
4.132 0.000 0.000
0.000 4.132 0.000
0.000 0.000 3.528
Be Cd Co
1 2 1
Direct
0.000 0.000 0.000
0.000 0.500 0.500
0.500 0.000 0.500
0.500 0.500 0.000
```

Results
calculated formation energy = 0.368 eV per atom



Compound: TbSc4
Source: Alexandria
Functional: PBE
Structure: relaxed

POSCAR file:
```
TbSc4
1.0
-2.098 2.098 7.826
2.098 -2.098 7.826
2.098 2.098 -7.826
Tb Sc
1 4
Direct
0.000 0.000 0.000
0.250 0.750 0.500
0.404 0.404 0.000
0.596 0.596 0.000
0.750 0.250 0.500
```

Results
calculated formation energy = 0.344 eV per atom



Compound: PmDy4Er7
Source: Alexandria
Functional: PBE
Structure: relaxed

POSCAR file:
```
PmDy4Er7
1.0
6.006 -2.909 0.000
6.006 2.909 0.000
-5.900 0.000 11.099
Pm Dy Er
1 4 7
Direct
0.000 0.000 0.000
0.247 0.247 0.682
0.367 0.367 0.225
0.633 0.633 0.775
0.753 0.753 0.318
0.060 0.060 0.327
0.211 0.211 0.923
0.365 0.365 0.498
0.500 0.500 0.000
0.635 0.635 0.502
0.789 0.789 0.077
0.940 0.940 0.673
```

Results
calculated formation energy = 0.281 eV per atom



Compound: Pu3Sb
Source: Alexandria
Functional: PBE
Structure: relaxed

POSCAR file:
```
Pu3Sb
1.0
-2.304 2.304 4.930
2.304 -2.304 4.930
2.304 2.304 -4.930
Pu Sb
3 1
Direct
0.000 0.000 0.000
0.250 0.750 0.500
0.750 0.250 0.500
0.500 0.500 0.000
```

Results
energy relative to the elements, uncorrected = -24.6 kJ per mole of atoms



Compound: Ce2Th2AlGe4
Source: Alexandria
Functional: PBE
Structure: relaxed

POSCAR file:
```
Ce2Th2AlGe4
1.0
-3.587 3.587 4.236
3.587 -3.587 4.236
3.587 3.587 -4.236
Ce Th Al Ge
2 2 1 4
Direct
0.171 0.171 0.000
0.829 0.829 0.000
0.250 0.750 0.500
0.750 0.250 0.500
0.500 0.500 0.000
0.255 0.255 0.511
0.255 0.745 0.000
0.745 0.255 0.000
0.745 0.745 0.489
```

Results
calculated formation energy = -0.246 eV per atom



Compound: TmScTlAg
Source: Alexandria
Functional: PBE
Structure: relaxed

POSCAR file:
```
TmScTlAg
1.0
0.000 3.599 3.599
3.599 0.000 3.599
3.599 3.599 0.000
Tm Sc Tl Ag
1 1 1 1
Direct
0.000 0.000 0.000
0.500 0.500 0.500
0.750 0.750 0.750
0.250 0.250 0.250
```

Results
calculated formation energy = -0.306 eV per atom



Compound: Ag2RuRh
Source: Alexandria
Functional: PBE
Structure: relaxed

POSCAR file:
```
Ag2RuRh
1.0
4.825 -1.387 0.000
4.825 1.387 0.000
-0.807 0.000 4.740
Ag Ru Rh
2 1 1
Direct
0.250 0.250 0.250
0.750 0.750 0.750
0.000 0.000 0.500
0.500 0.500 0.000
```

Results
calculated formation energy = 0.419 eV per atom



Compound: YEr6Mg
Source: Alexandria
Functional: PBE
Structure: relaxed

POSCAR file:
```
YEr6Mg
1.0
4.667 2.694 3.249
-4.667 2.694 3.249
0.000 -5.389 3.249
Y Er Mg
1 6 1
Direct
0.000 0.000 0.000
0.011 0.547 0.256
0.256 0.011 0.547
0.453 0.744 0.989
0.547 0.256 0.011
0.744 0.989 0.453
0.989 0.453 0.744
0.500 0.500 0.500
```

Results
calculated formation energy = 0.143 eV per atom



Compound: Sb2H2I3
Source: Alexandria
Functional: PBE
Structure: relaxed

POSCAR file:
```
Sb2H2I3
1.0
5.812 0.000 0.000
-2.828 6.666 0.000
-0.052 -2.744 7.880
Sb H I
2 2 3
Direct
0.224 0.445 0.486
0.776 0.555 0.514
0.436 0.002 0.001
0.564 0.998 0.999
0.000 0.000 0.500
0.199 0.400 0.146
0.801 0.600 0.854
```

Results
E = -2.874 eV per atom



Compound: Ag2SbCl5
Source: Alexandria
Functional: PBE
Structure: relaxed

POSCAR file:
```
Ag2SbCl5
1.0
-4.016 4.016 4.695
4.016 -4.016 4.695
4.016 4.016 -4.695
Ag Sb Cl
2 1 5
Direct
0.000 0.500 0.500
0.500 0.000 0.500
0.001 0.001 0.000
0.193 0.725 0.921
0.272 0.193 0.467
0.725 0.804 0.533
0.750 0.750 0.000
0.804 0.272 0.079
```

Results
energy relative to the elements, uncorrected = -58.7 kJ per mole of atoms



Compound: PmNiGeRu
Source: Alexandria
Functional: PBE
Structure: relaxed

POSCAR file:
```
PmNiGeRu
1.0
0.000 3.234 3.234
3.234 0.000 3.234
3.234 3.234 0.000
Pm Ni Ge Ru
1 1 1 1
Direct
0.000 0.000 0.000
0.750 0.750 0.750
0.500 0.500 0.500
0.250 0.250 0.250
```

Results
calculated formation energy = -0.186 eV per atom



Compound: Nd4DyHo2
Source: Alexandria
Functional: PBE
Structure: relaxed

POSCAR file:
```
Nd4DyHo2
1.0
6.243 0.000 0.000
0.000 6.659 0.000
-2.957 0.000 11.280
Nd Dy Ho
8 2 4
Direct
0.039 0.250 0.364
0.151 0.250 0.950
0.353 0.510 0.215
0.353 0.990 0.215
0.647 0.010 0.785
0.647 0.490 0.785
0.849 0.750 0.050
0.961 0.750 0.636
0.150 0.250 0.663
0.850 0.750 0.337
0.289 0.750 0.924
0.392 0.750 0.505
0.608 0.250 0.495
0.711 0.250 0.076
```

Results
calculated formation energy = 0.125 eV per atom



Compound: HfInPdSe2
Source: Alexandria
Functional: PBE
Structure: relaxed

POSCAR file:
```
HfInPdSe2
1.0
5.143 0.000 0.000
0.000 5.143 0.000
0.000 0.000 5.209
Hf In Pd Se
1 1 1 2
Direct
0.000 0.000 0.000
0.500 0.500 0.500
0.000 0.000 0.500
0.000 0.500 0.000
0.500 0.000 0.000
```

Results
energy relative to the elements, uncorrected = -23.7 kJ per mole of atoms



Compound: Er2ZrSc3
Source: Alexandria
Functional: PBE
Structure: relaxed

POSCAR file:
```
Er2ZrSc3
1.0
4.220 -4.506 0.000
4.220 4.506 0.000
-1.977 0.000 8.214
Er Zr Sc
4 2 6
Direct
0.121 0.626 0.877
0.374 0.879 0.623
0.626 0.121 0.377
0.879 0.374 0.123
0.085 0.915 0.250
0.915 0.085 0.750
0.163 0.323 0.494
0.323 0.163 0.994
0.414 0.586 0.250
0.586 0.414 0.750
0.677 0.837 0.006
0.837 0.677 0.506
```

Results
calculated formation energy = 0.057 eV per atom



Compound: LiTiB
Source: Alexandria
Functional: PBE
Structure: relaxed

POSCAR file:
```
LiTiB
1.0
3.429 0.000 0.000
-1.715 2.970 0.000
0.000 0.000 8.315
Li Ti B
2 2 2
Direct
0.000 0.000 0.000
0.000 0.000 0.500
0.333 0.667 0.224
0.333 0.667 0.776
0.667 0.333 0.102
0.667 0.333 0.898
```

Results
calculated formation energy = 0.224 eV per atom



Compound: YThZnGa
Source: Alexandria
Functional: PBE
Structure: relaxed

POSCAR file:
```
YThZnGa
1.0
0.000 3.635 3.635
3.635 0.000 3.635
3.635 3.635 0.000
Y Th Zn Ga
1 1 1 1
Direct
0.000 0.000 0.000
0.500 0.500 0.500
0.250 0.250 0.250
0.750 0.750 0.750
```

Results
calculated formation energy = -0.400 eV per atom



Compound: NaCa8Mg2
Source: Alexandria
Functional: PBE
Structure: relaxed

POSCAR file:
```
NaCa8Mg2
1.0
8.737 -2.954 0.000
8.737 2.954 0.000
-4.365 0.000 7.986
Na Ca Mg
1 8 2
Direct
0.000 0.000 0.000
0.106 0.106 0.467
0.183 0.183 0.938
0.352 0.352 0.790
0.447 0.447 0.275
0.553 0.553 0.725
0.648 0.648 0.210
0.817 0.817 0.062
0.894 0.894 0.533
0.279 0.279 0.366
0.721 0.721 0.634
```

Results
calculated formation energy = 0.005 eV per atom



Compound: Er6Ge3Se2S
Source: Alexandria
Functional: PBE
Structure: relaxed

POSCAR file:
```
Er6Ge3Se2S
1.0
8.879 -2.035 0.000
8.879 2.035 0.000
-1.929 0.000 7.926
Er Ge Se S
6 3 2 1
Direct
0.003 0.003 0.249
0.334 0.334 0.425
0.336 0.336 0.909
0.664 0.664 0.091
0.666 0.666 0.575
0.997 0.997 0.751
0.168 0.168 0.335
0.500 0.500 0.000
0.832 0.832 0.665
0.166 0.166 0.833
0.834 0.834 0.167
0.500 0.500 0.500
```

Results
energy relative to the elements, uncorrected = -133.4 kJ per mole of atoms



Compound: NaN2ClF
Source: Alexandria
Functional: PBE
Structure: relaxed

POSCAR file:
```
NaN2ClF
1.0
3.535 0.000 0.000
0.000 3.535 0.000
0.000 0.000 5.972
Na N Cl F
1 2 1 1
Direct
0.000 0.000 0.000
0.000 0.500 0.500
0.500 0.000 0.500
0.500 0.500 0.500
0.500 0.500 0.000
```

Results
energy relative to the elements, uncorrected = 97.2 kJ per mole of atoms



Compound: PmBi3Se6
Source: Alexandria
Functional: PBE
Structure: relaxed

POSCAR file:
```
PmBi3Se6
1.0
12.258 0.000 0.000
0.000 4.169 0.000
-3.818 0.000 11.721
Pm Bi Se
2 6 12
Direct
0.191 0.250 0.039
0.809 0.750 0.961
0.029 0.750 0.300
0.337 0.250 0.436
0.403 0.750 0.849
0.597 0.250 0.151
0.663 0.750 0.564
0.971 0.250 0.700
0.033 0.750 0.897
0.117 0.250 0.466
0.230 0.750 0.237
0.242 0.250 0.807
0.389 0.750 0.071
0.419 0.750 0.596
0.581 0.250 0.404
0.611 0.250 0.929
0.758 0.750 0.193
0.770 0.250 0.763
0.883 0.750 0.534
0.967 0.250 0.103
```

Results
energy relative to the elements, uncorrected = -73.3 kJ per mole of atoms



Compound: DyScSi
Source: Alexandria
Functional: PBE
Structure: relaxed

POSCAR file:
```
DyScSi
1.0
6.148 0.000 0.000
0.000 7.241 4.563
0.000 -7.241 4.563
Dy Sc Si
6 6 6
Direct
0.000 0.000 0.000
0.000 0.500 0.758
0.000 0.758 0.500
0.500 0.055 0.773
0.500 0.441 0.441
0.500 0.773 0.055
0.249 0.094 0.405
0.249 0.405 0.094
0.500 0.412 0.755
0.500 0.755 0.412
0.751 0.094 0.405
0.751 0.405 0.094
0.000 0.162 0.755
0.000 0.342 0.342
0.000 0.755 0.162
0.309 0.730 0.730
0.500 0.131 0.131
0.691 0.730 0.730
```

Results
energy relative to the elements, uncorrected = -42.9 kJ per mole of atoms



Compound: MgSb2TeBr
Source: Alexandria
Functional: PBE
Structure: relaxed

POSCAR file:
```
MgSb2TeBr
1.0
5.790 0.000 0.000
0.000 5.790 0.000
0.000 0.000 5.582
Mg Sb Te Br
1 2 1 1
Direct
0.000 0.000 0.000
0.000 0.500 0.500
0.500 0.000 0.500
0.500 0.500 0.500
0.500 0.500 0.000
```

Results
energy relative to the elements, uncorrected = 49.1 kJ per mole of atoms



Computed values of calculated volume (unit: Å³/cell) for the preceding records, in sequence: 93, 47, 65, 60, 138, 388, 105, 218, 93, 63, 245, 305, 303, 68, 469, 138, 312, 85, 96, 412, 286, 75, 599, 406, 187.